First-principles (GGA-PBE) data for an optimized crystal structure of EuZnCdIn, as listed in Alexandria via LeMat-Bulk.

Cell and atoms, written as CIF:
```
data_EuZnCdIn
_symmetry_space_group_name_H-M 'F -4 3 m'
_symmetry_Int_Tables_number 216
_symmetry_space_group_name_Hall 'F -4 2 3'
_cell_length_a 7.253
_cell_length_b 7.253
_cell_length_c 7.253
_cell_angle_alpha 90.00
_cell_angle_beta 90.00
_cell_angle_gamma 90.00
loop_
_atom_site_label
_atom_site_type_symbol
_atom_site_fract_x
_atom_site_fract_y
_atom_site_fract_z
Eu1 Eu 0.000 0.000 0.000
Zn1 Zn 0.250 0.250 0.250
Cd1 Cd 0.250 0.250 0.750
In1 In 0.000 0.000 0.500
```

Output
DFT total energy (eV per atom): -4.079